[1]
Entry from the Alexandria database: Ba2LiLa after structural relaxation (GGA-PBE).

Cell and atoms, written as CIF:
```
data_Ba2LiLa
_cell_length_a 4.0474
_cell_length_b 4.0474
_cell_length_c 38.1104
_cell_angle_alpha 90.00
_cell_angle_beta 90.00
_cell_angle_gamma 120.00
_space_group_name_H-M_alt 'R -3 m'
_space_group_IT_number 166
_space_group_name_Hall '-R 3 2"'
loop_
_atom_site_label
_atom_site_fract_x
_atom_site_fract_y
_atom_site_fract_z
_atom_site_occupancy
Ba1 0.0000 0.0000 0.2460 1
Li1 0.0000 0.0000 0.5000 1
La1 0.0000 0.0000 0.0000 1
```

Properties
The formation energy comes out at 0.19 eV/atom. The value obtained for the energy above the most stable polymorph in this dataset is 61 meV/atom.

=====

[2]
Entry from the Alexandria database: Ac12Tl3Ir5 after structural relaxation (GGA-PBE).

Cell and atoms, written as CIF:
```
data_Ac12Tl3Ir5
_cell_length_a 18.5168
_cell_length_b 18.5168
_cell_length_c 18.5168
_cell_angle_alpha 90.00
_cell_angle_beta 90.00
_cell_angle_gamma 90.00
_space_group_name_H-M_alt 'I a -3 d'
_space_group_IT_number 230
_space_group_name_Hall '-I 4bd 2c 3'
loop_
_atom_site_label
_atom_site_fract_x
_atom_site_fract_y
_atom_site_fract_z
_atom_site_occupancy
Ac1 0.0279 0.0567 0.6492 1
Tl1 0.0000 0.2500 0.1250 1
Ir1 0.0000 0.0000 0.0000 1
Ir2 0.0000 0.2500 0.3750 1
```

Properties
The formation energy comes out at -0.32 eV/atom.

=====

[3]
Entry from the Alexandria database: Pu2VAg after structural relaxation (GGA-PBE).

Cell and atoms, written as CIF:
```
data_Pu2VAg
_cell_length_a 3.0148
_cell_length_b 3.0148
_cell_length_c 9.0994
_cell_angle_alpha 90.00
_cell_angle_beta 90.00
_cell_angle_gamma 90.00
_space_group_name_H-M_alt 'P 4/m m m'
_space_group_IT_number 123
_space_group_name_Hall '-P 4 2'
loop_
_atom_site_label
_atom_site_fract_x
_atom_site_fract_y
_atom_site_fract_z
_atom_site_occupancy
Pu1 0.0000 0.0000 0.2264 1
V1 0.5000 0.5000 0.0000 1
Ag1 0.5000 0.5000 0.5000 1
```

Properties
The formation energy comes out at 0.22 eV/atom.

=====

[4]
Entry from the Alexandria database: TcH2Pt after structural relaxation (GGA-PBE).

Cell and atoms, written as CIF:
```
data_TcH2Pt
_cell_length_a 3.0173
_cell_length_b 3.0173
_cell_length_c 14.5994
_cell_angle_alpha 90.00
_cell_angle_beta 90.00
_cell_angle_gamma 120.00
_space_group_name_H-M_alt 'R -3 m'
_space_group_IT_number 166
_space_group_name_Hall '-R 3 2"'
loop_
_atom_site_label
_atom_site_fract_x
_atom_site_fract_y
_atom_site_fract_z
_atom_site_occupancy
Tc1 0.0000 0.0000 0.0000 1
H1 0.0000 0.0000 0.1231 1
Pt1 0.0000 0.0000 0.5000 1
```

Properties
The value obtained for the energy above the most stable polymorph in this dataset is 223 meV/atom.

=====

[5]
Entry from the Alexandria database: CsTe2PbI after structural relaxation (GGA-PBE).

Cell and atoms, written as CIF:
```
data_CsTe2PbI
_cell_length_a 5.9747
_cell_length_b 5.9747
_cell_length_c 6.5568
_cell_angle_alpha 90.00
_cell_angle_beta 90.00
_cell_angle_gamma 90.00
_space_group_name_H-M_alt 'P 4/m m m'
_space_group_IT_number 123
_space_group_name_Hall '-P 4 2'
loop_
_atom_site_label
_atom_site_fract_x
_atom_site_fract_y
_atom_site_fract_z
_atom_site_occupancy
Cs1 0.0000 0.0000 0.0000 1
Te1 0.0000 0.5000 0.5000 1
Pb1 0.5000 0.5000 0.5000 1
I1 0.5000 0.5000 0.0000 1
```

Properties
The value obtained for the energy above the most stable polymorph in this dataset is 0 meV/atom.

=====

[6]
Entry from the Alexandria database: Bi3RuS after structural relaxation (GGA-PBE).

Cell and atoms, written as CIF:
```
data_Bi3RuS
_cell_length_a 5.2558
_cell_length_b 5.2558
_cell_length_c 5.2558
_cell_angle_alpha 90.00
_cell_angle_beta 90.00
_cell_angle_gamma 90.00
_space_group_name_H-M_alt 'P m -3 m'
_space_group_IT_number 221
_space_group_name_Hall '-P 4 2 3'
loop_
_atom_site_label
_atom_site_fract_x
_atom_site_fract_y
_atom_site_fract_z
_atom_site_occupancy
Bi1 0.0000 0.0000 0.5000 1
Ru1 0.0000 0.0000 0.0000 1
S1 0.5000 0.5000 0.5000 1
```

Properties
The value obtained for the energy above the most stable polymorph in this dataset is 0 meV/atom.

=====

[7]
Entry from the Alexandria database: Ba2MgRe after structural relaxation (GGA-PBE).

Cell and atoms, written as CIF:
```
data_Ba2MgRe
_cell_length_a 3.7778
_cell_length_b 3.7778
_cell_length_c 9.3584
_cell_angle_alpha 90.00
_cell_angle_beta 90.00
_cell_angle_gamma 90.00
_space_group_name_H-M_alt 'P 4 m m'
_space_group_IT_number 99
_space_group_name_Hall 'P 4 -2'
loop_
_atom_site_label
_atom_site_fract_x
_atom_site_fract_y
_atom_site_fract_z
_atom_site_occupancy
Ba1 0.0000 0.0000 0.0000 1
Ba2 0.5000 0.5000 0.4232 1
Mg1 0.0000 0.0000 0.6691 1
Re1 0.5000 0.5000 0.7584 1
```

Properties
The formation energy comes out at 0.70 eV/atom.

=====

[8]
Entry from the Alexandria database: YCd2Sb after structural relaxation (GGA-PBE).

Cell and atoms, written as CIF:
```
data_YCd2Sb
_cell_length_a 3.4813
_cell_length_b 3.4813
_cell_length_c 30.3825
_cell_angle_alpha 90.00
_cell_angle_beta 90.00
_cell_angle_gamma 120.00
_space_group_name_H-M_alt 'R 3 m'
_space_group_IT_number 160
_space_group_name_Hall 'R 3 -2"'
loop_
_atom_site_label
_atom_site_fract_x
_atom_site_fract_y
_atom_site_fract_z
_atom_site_occupancy
Y1 0.0000 0.0000 0.0000 1
Cd1 0.0000 0.0000 0.2495 1
Cd2 0.0000 0.0000 0.5058 1
Sb1 0.0000 0.0000 0.7509 1
```

Properties
As for the calculated total energy: -0.2377 Ry per atom.

=====

[9]
Entry from the Alexandria database: SrAc2Te4 after structural relaxation (GGA-PBE).

Cell and atoms, written as CIF:
```
data_SrAc2Te4
_cell_length_a 9.9862
_cell_length_b 9.9862
_cell_length_c 10.0345
_cell_angle_alpha 90.00
_cell_angle_beta 90.00
_cell_angle_gamma 90.00
_space_group_name_H-M_alt 'I -4 2 d'
_space_group_IT_number 122
_space_group_name_Hall 'I -4 2bw'
loop_
_atom_site_label
_atom_site_fract_x
_atom_site_fract_y
_atom_site_fract_z
_atom_site_occupancy
Sr1 0.0000 0.0000 0.0000 1
Ac1 0.1273 0.2500 0.6250 1
Te1 0.0759 0.1753 0.3018 1
```

Properties
The value obtained for the energy above the most stable polymorph in this dataset is 0 meV/atom.

=====

[10]
Entry from the Alexandria database: Tl2CrPb after structural relaxation (GGA-PBE).

Cell and atoms, written as CIF:
```
data_Tl2CrPb
_cell_length_a 12.9306
_cell_length_b 3.4887
_cell_length_c 5.1346
_cell_angle_alpha 90.00
_cell_angle_beta 113.08
_cell_angle_gamma 90.00
_space_group_name_H-M_alt 'C 1 2/m 1'
_space_group_IT_number 12
_space_group_name_Hall '-C 2y'
loop_
_atom_site_label
_atom_site_fract_x
_atom_site_fract_y
_atom_site_fract_z
_atom_site_occupancy
Tl1 0.2084 0.0000 0.2084 1
Cr1 0.0000 0.5000 0.0000 1
Pb1 0.0000 0.0000 0.5000 1
```

Properties
The formation energy comes out at 0.39 eV/atom. The value obtained for the energy above the most stable polymorph in this dataset is 59 meV/atom.

=====

[11]
Entry from the Alexandria database: GaMoOs2 after structural relaxation (GGA-PBE).

Cell and atoms, written as CIF:
```
data_GaMoOs2
_cell_length_a 3.0275
_cell_length_b 3.0275
_cell_length_c 6.3792
_cell_angle_alpha 90.00
_cell_angle_beta 90.00
_cell_angle_gamma 90.00
_space_group_name_H-M_alt 'P 4/m m m'
_space_group_IT_number 123
_space_group_name_Hall '-P 4 2'
loop_
_atom_site_label
_atom_site_fract_x
_atom_site_fract_y
_atom_site_fract_z
_atom_site_occupancy
Ga1 0.0000 0.0000 0.0000 1
Mo1 0.0000 0.0000 0.5000 1
Os1 0.5000 0.5000 0.2405 1
```

Properties
The formation energy comes out at 0.02 eV/atom.

=====

[12]
Entry from the Alexandria database: SrMg3 after structural relaxation (GGA-PBE).

Cell and atoms, written as CIF:
```
data_SrMg3
_cell_length_a 7.0753
_cell_length_b 7.0753
_cell_length_c 11.1771
_cell_angle_alpha 90.00
_cell_angle_beta 90.00
_cell_angle_gamma 120.00
_space_group_name_H-M_alt 'P 63/m m c'
_space_group_IT_number 194
_space_group_name_Hall '-P 6c 2c'
loop_
_atom_site_label
_atom_site_fract_x
_atom_site_fract_y
_atom_site_fract_z
_atom_site_occupancy
Sr1 0.0000 0.0000 0.0000 1
Sr2 0.3333 0.6667 0.2500 1
Mg1 0.0000 0.5000 0.0000 1
Mg2 0.1808 0.3616 0.7500 1
```

Properties
The formation energy comes out at 0.01 eV/atom.